# 1
! Y2GeO5 GGA-PBEsol optimized geometry; values from VASP
! - Energy relative to the lowest polymorph listed for this composition: 9 meV/atom
! - SG: No. 14
! - Total DFT energy (no corrections): -274.4 eV per cell
! - ΔE_f (raw): -2972 meV/atom
&SYSTEM
  ibrav = 0, nat = 32, ntyp = 3
/
ATOMIC_SPECIES
O 16.00 O.upf
Y 88.91 Y.upf
Ge 72.64 Ge.upf
ATOMIC_POSITIONS angstrom
O -2.684 3.472 0.832
O -7.761 6.711 -1.965
O -2.296 8.136 -1.468
O -2.187 1.107 -4.962
O -0.906 1.955 -0.915
O -3.481 1.043 -1.013
O -3.330 5.378 -1.428
O -6.660 5.165 0.037
O -5.673 3.279 2.188
O -5.186 7.623 -1.867
O -2.007 3.501 -2.918
O -4.135 8.022 -4.410
O -5.984 5.194 -3.713
O -5.337 3.288 -1.453
O -6.371 0.530 -1.413
O -4.532 0.644 1.529
O -4.365 6.914 0.476
O -2.994 5.387 -5.069
O -4.302 1.752 -3.357
O -6.481 7.559 2.082
Y -4.104 4.061 -3.465
Y -1.993 1.263 -2.759
Y -4.563 4.605 0.584
Y -1.366 4.226 -0.812
Y -6.674 7.403 -0.122
Y -7.301 4.440 -2.069
Y -2.373 1.251 0.896
Y -6.294 7.415 -3.777
Ge -3.666 7.120 -1.169
Ge -2.751 7.163 -4.996
Ge -5.916 1.503 2.115
Ge -5.001 1.546 -1.712
CELL_PARAMETERS angstrom
-2.052 -0.136 -6.407
-6.551 -0.372 2.106
-0.064 9.173 1.420

=====

# 2
! Zr2CoCu GGA-PBEsol optimized geometry; values from VASP
! - Formation energy from the elements: -0.09 eV per atom
! - SG: No. 44
! - Total DFT energy (no corrections): -30.6 eV per cell
&SYSTEM
  ibrav = 0, nat = 4, ntyp = 3
/
ATOMIC_SPECIES
Zr 91.22 Zr.upf
Cu 63.55 Cu.upf
Co 58.93 Co.upf
ATOMIC_POSITIONS angstrom
Zr 0.000 0.000 0.015
Zr 1.602 0.000 2.621
Cu 0.000 2.136 2.029
Co 1.602 2.136 0.049
CELL_PARAMETERS angstrom
3.205 0.000 0.000
0.000 4.272 0.000
-1.602 -2.136 4.715

=====

# 3
! CoPb4Br GGA-PBEsol optimized geometry; values from VASP
! - SG: No. 216
! - Total DFT energy (no corrections): -21.6 eV per cell
! - ΔE_f (raw): 671 meV/atom
&SYSTEM
  ibrav = 0, nat = 6, ntyp = 3
/
ATOMIC_SPECIES
Pb 207.20 Pb.upf
Br 79.90 Br.upf
Co 58.93 Co.upf
ATOMIC_POSITIONS angstrom
Pb 6.258 3.613 4.483
Pb 4.684 2.704 1.912
Pb 6.258 5.431 1.912
Pb 7.833 2.704 1.912
Br 9.388 5.420 3.832
Co 0.000 0.000 0.000
CELL_PARAMETERS angstrom
6.258 0.000 0.000
3.129 5.420 0.000
3.129 1.807 5.110

=====

# 4
! CaTlRh2 GGA-PBEsol optimized geometry; values from VASP
! - Formation energy from the elements: -0.19 eV per atom
! - SG: No. 225
! - Total DFT energy (no corrections): -21.8 eV per cell
&SYSTEM
  ibrav = 0, nat = 4, ntyp = 3
/
ATOMIC_SPECIES
Ca 40.08 Ca.upf
Rh 102.91 Rh.upf
Tl 204.38 Tl.upf
ATOMIC_POSITIONS angstrom
Ca 0.242 -4.647 -3.243
Rh 0.364 -6.971 -4.865
Rh 0.121 -2.324 -1.622
Tl 0.000 0.000 0.000
CELL_PARAMETERS angstrom
-0.796 -1.703 -4.233
2.800 -3.245 -1.754
-1.520 -4.346 -0.499